# 1
{"formula": "Ca2Nd4Sm", "functional": "PBE-GGA", "state": "relaxed", "relative_energy_mev_per_atom": 460.6, "total_energy_ev_per_cell": -23.78, "lattice_angstrom": [[-2.8891, 2.8891, 9.0146], [2.8891, -2.8891, 9.0146], [2.8891, 2.8891, -9.0146]], "species": ["Ca", "Ca", "Nd", "Nd", "Nd", "Nd", "Sm"], "frac_coords": [[0.1266, 0.1266, 0.0000], [0.8734, 0.8734, 0.0000], [0.0000, 0.5000, 0.5000], [0.3271, 0.3271, 0.0000], [0.5000, 0.0000, 0.5000], [0.6729, 0.6729, 0.0000], [0.5000, 0.5000, 0.0000]]}

# 2
{"formula": "BaTl2Ga2", "functional": "PBE-GGA", "state": "relaxed", "relative_energy_mev_per_atom": 0.0, "total_energy_ev_per_cell": -14.20, "lattice_angstrom": [[-2.5185, 2.5185, 5.6474], [2.5185, -2.5185, 5.6474], [2.5185, 2.5185, -5.6474]], "species": ["Ba", "Tl", "Tl", "Ga", "Ga"], "frac_coords": [[0.0000, 0.0000, 0.0000], [0.2500, 0.7500, 0.5000], [0.7500, 0.2500, 0.5000], [0.3861, 0.3861, 0.0000], [0.6139, 0.6139, 0.0000]]}

# 3
{"formula": "PPt4", "functional": "PBE-GGA", "state": "relaxed", "relative_energy_mev_per_atom": 0.0, "total_energy_ev_per_cell": -30.30, "lattice_angstrom": [[-2.7662, 2.7662, 2.7662], [2.7662, -2.7662, 2.7662], [2.7662, 2.7662, -2.7662]], "species": ["P", "Pt", "Pt", "Pt", "Pt"], "frac_coords": [[0.0000, 0.0000, 0.0000], [0.0000, 0.0000, 0.5000], [0.0000, 0.5000, 0.0000], [0.5000, 0.0000, 0.0000], [0.5000, 0.5000, 0.5000]]}

# 4
{"formula": "KMgCo2I", "functional": "PBE-GGA", "state": "relaxed", "formation_energy_uncorrected_mev_per_atom": 1014.4, "total_energy_ev_per_cell": -13.38, "lattice_angstrom": [[4.8364, 0.0000, 0.0000], [0.0000, 4.8364, 0.0000], [0.0000, 0.0000, 6.2102]], "species": ["K", "Mg", "Co", "Co", "I"], "frac_coords": [[0.0000, 0.0000, 0.0000], [0.5000, 0.5000, 0.0000], [0.0000, 0.5000, 0.5000], [0.5000, 0.0000, 0.5000], [0.0000, 0.0000, 0.5000]]}

# 5
{"formula": "NdTh3Pd12", "functional": "PBE-GGA", "state": "relaxed", "total_energy_ev_per_cell": -104.00, "lattice_angstrom": [[4.2112, 0.0000, 0.0000], [0.0000, 4.2112, 0.0000], [0.0000, 0.0000, 16.8942]], "species": ["Nd", "Th", "Th", "Th", "Pd", "Pd", "Pd", "Pd", "Pd", "Pd", "Pd", "Pd", "Pd", "Pd", "Pd", "Pd"], "frac_coords": [[0.0000, 0.0000, 0.0000], [0.0000, 0.0000, 0.2473], [0.0000, 0.0000, 0.5000], [0.0000, 0.0000, 0.7527], [0.0000, 0.5000, 0.1272], [0.0000, 0.5000, 0.3754], [0.0000, 0.5000, 0.6246], [0.0000, 0.5000, 0.8728], [0.5000, 0.0000, 0.1272], [0.5000, 0.0000, 0.3754], [0.5000, 0.0000, 0.6246], [0.5000, 0.0000, 0.8728], [0.5000, 0.5000, 0.0000], [0.5000, 0.5000, 0.2518], [0.5000, 0.5000, 0.5000], [0.5000, 0.5000, 0.7482]]}

# 6
{"formula": "V2GeS6", "functional": "PBE-GGA", "state": "relaxed", "formation_energy_uncorrected_mev_per_atom": -476.9, "total_energy_ev_per_cell": -103.82, "lattice_angstrom": [[5.7501, 0.0000, 0.0000], [0.0000, 5.7501, 0.0000], [0.0000, 0.0000, 10.1492]], "species": ["V", "V", "V", "V", "Ge", "Ge", "S", "S", "S", "S", "S", "S", "S", "S", "S", "S", "S", "S"], "frac_coords": [[0.0000, 0.0000, 0.1511], [0.0000, 0.0000, 0.8489], [0.5000, 0.5000, 0.3489], [0.5000, 0.5000, 0.6511], [0.0000, 0.0000, 0.5000], [0.5000, 0.5000, 0.0000], [0.1929, 0.1929, 0.3246], [0.1929, 0.1929, 0.6754], [0.2012, 0.2012, 0.0000], [0.2988, 0.7012, 0.5000], [0.3071, 0.6929, 0.1754], [0.3071, 0.6929, 0.8246], [0.6929, 0.3071, 0.1754], [0.6929, 0.3071, 0.8246], [0.7012, 0.2988, 0.5000], [0.7988, 0.7988, 0.0000], [0.8071, 0.8071, 0.3246], [0.8071, 0.8071, 0.6754]]}

Fermi-level density of states, record by record: 12.159; 2.220; 2.714; 10.046; 1.820; 4.574 states/eV/f.u.